1.
The following is a PBEsol calculation of a geometry-optimized AuSe structure, from Alexandria.

a = 3.765 Å, b = 3.871 Å, c = 5.607 Å
α = 69.80°, β = 90.00°, γ = 90.00°
Fractional coordinates of all 4 atoms:
Au: 0.750 0.607 0.786
Au: 0.250 0.393 0.214
Se: 0.750 0.858 0.284
Se: 0.250 0.142 0.716

## Properties
D(E_F): 1.93 states/eV/cell
energy relative to the elements, uncorrected: 0.30 eV/f.u.
crystal system: orthorhombic



2.
The following is a PBEsol calculation of a geometry-optimized Au3Se structure, from Alexandria.

a = 4.969 Å, b = 4.969 Å, c = 4.969 Å
α = 90.00°, β = 90.00°, γ = 90.00°
Fractional coordinates of all 4 atoms:
Au: 0.500 0.000 0.000
Au: 0.000 0.500 0.000
Au: 0.000 0.000 0.500
Se: 0.000 0.000 0.000

## Properties
D(E_F): 1.49 states/eV/cell
energy relative to the elements, uncorrected: 2.83 eV/f.u.
crystal system: cubic



3.
The following is a PBEsol calculation of a geometry-optimized Au2Se structure, from Alexandria.

a = 3.443 Å, b = 3.443 Å, c = 10.058 Å
α = 99.86°, β = 99.86°, γ = 90.00°
Fractional coordinates of all 6 atoms:
Au: 0.822 0.322 0.645
Au: 0.428 0.428 0.855
Au: 0.678 0.178 0.355
Au: 0.572 0.572 0.145
Se: 0.250 0.750 0.500
Se: 0.000 0.000 0.000

## Properties
D(E_F): 3.49 states/eV/cell
energy relative to the elements, uncorrected: 1.00 eV/f.u.
crystal system: tetragonal



4.
The following is a PBEsol calculation of a geometry-optimized AuSe2 structure, from Alexandria.

a = 3.681 Å, b = 3.667 Å, c = 10.580 Å
α = 99.98°, β = 100.02°, γ = 90.00°
Fractional coordinates of all 6 atoms:
Au: 0.440 0.190 0.880
Au: 0.560 0.810 0.120
Se: 0.795 0.545 0.590
Se: 0.205 0.455 0.410
Se: 0.919 0.669 0.838
Se: 0.081 0.331 0.162

## Properties
D(E_F): 2.50 states/eV/cell
energy relative to the elements, uncorrected: 0.64 eV/f.u.
crystal system: orthorhombic



5.
The following is a PBEsol calculation of a geometry-optimized AuSe4 structure, from Alexandria.

a = 3.455 Å, b = 6.417 Å, c = 6.417 Å
α = 85.85°, β = 74.39°, γ = 74.39°
Fractional coordinates of all 5 atoms:
Au: 0.000 0.000 0.000
Se: 0.655 0.047 0.643
Se: 0.702 0.643 0.953
Se: 0.345 0.953 0.357
Se: 0.298 0.357 0.047

## Properties
D(E_F): 2.29 states/eV/cell
energy relative to the elements, uncorrected: 1.40 eV/f.u.
energy relative to the lowest polymorph listed for this composition: 0 meV per atom
crystal system: tetragonal



6.
The following is a PBEsol calculation of a geometry-optimized AuSe5 structure, from Alexandria.

a = 3.639 Å, b = 6.287 Å, c = 6.287 Å
α = 120.00°, β = 90.00°, γ = 90.00°
Fractional coordinates of all 6 atoms:
Au: 0.500 0.000 0.000
Se: 0.000 0.321 0.321
Se: 0.000 0.679 0.000
Se: 0.000 0.000 0.679
Se: 0.500 0.333 0.667
Se: 0.500 0.667 0.333

## Properties
D(E_F): 4.12 states/eV/cell
energy relative to the elements, uncorrected: 1.63 eV/f.u.
crystal system: hexagonal



7.
The following is a PBEsol calculation of a geometry-optimized AuSe structure, from Alexandria.

a = 2.788 Å, b = 5.558 Å, c = 7.843 Å
α = 91.03°, β = 90.00°, γ = 104.53°
Fractional coordinates of all 6 atoms:
Au: 0.902 0.803 0.983
Au: 0.661 0.321 0.314
Au: 0.399 0.798 0.298
Se: 0.398 0.796 0.633
Se: 0.158 0.315 0.610
Se: 0.650 0.300 0.996

## Properties
D(E_F): 2.87 states/eV/cell
energy relative to the elements, uncorrected: 0.37 eV/f.u.
crystal system: monoclinic



8.
The following is a PBEsol calculation of a geometry-optimized AuSe structure, from Alexandria.

a = 3.812 Å, b = 3.812 Å, c = 3.812 Å
α = 60.00°, β = 60.00°, γ = 60.00°
Fractional coordinates of all 2 atoms:
Au: 0.500 0.500 0.500
Se: 0.000 0.000 0.000

## Properties
D(E_F): 0.96 states/eV/cell
energy relative to the elements, uncorrected: 0.07 eV/f.u.
crystal system: cubic



9.
The following is a PBEsol calculation of a geometry-optimized AuSe2 structure, from Alexandria.

a = 3.334 Å, b = 3.334 Å, c = 11.033 Å
α = 98.69°, β = 98.69°, γ = 90.00°
Fractional coordinates of all 6 atoms:
Au: 0.250 0.750 0.500
Au: 0.000 0.000 0.000
Se: 0.829 0.329 0.658
Se: 0.421 0.421 0.842
Se: 0.671 0.171 0.342
Se: 0.579 0.579 0.158

## Properties
D(E_F): 4.30 states/eV/cell
energy relative to the elements, uncorrected: 1.05 eV/f.u.
crystal system: tetragonal



10.
The following is a PBEsol calculation of a geometry-optimized AuSe structure, from Alexandria.

a = 3.735 Å, b = 4.312 Å, c = 6.452 Å
α = 107.74°, β = 90.00°, γ = 115.66°
Fractional coordinates of all 4 atoms:
Au: 0.500 0.000 0.500
Au: 0.000 0.000 0.000
Se: 0.829 0.659 0.257
Se: 0.171 0.341 0.743

## Properties
D(E_F): 0.67 states/eV/cell
energy relative to the elements, uncorrected: -0.11 eV/f.u.
crystal system: monoclinic



11.
The following is a PBEsol calculation of a geometry-optimized AuSe4 structure, from Alexandria.

a = 5.328 Å, b = 5.328 Å, c = 5.328 Å
α = 109.47°, β = 109.47°, γ = 109.47°
Fractional coordinates of all 5 atoms:
Au: 0.000 0.000 0.000
Se: 0.000 0.000 0.500
Se: 0.000 0.500 0.000
Se: 0.500 0.000 0.000
Se: 0.500 0.500 0.500

## Properties
D(E_F): 3.12 states/eV/cell
energy relative to the elements, uncorrected: 2.10 eV/f.u.
energy relative to the lowest polymorph listed for this composition: 140 meV per atom
crystal system: cubic



12.
The following is a PBEsol calculation of a geometry-optimized Au2Se structure, from Alexandria.

a = 4.434 Å, b = 4.434 Å, c = 4.434 Å
α = 60.00°, β = 60.00°, γ = 60.00°
Fractional coordinates of all 3 atoms:
Au: 0.750 0.750 0.750
Au: 0.250 0.250 0.250
Se: 0.000 0.000 0.000

## Properties
D(E_F): 1.17 states/eV/cell
energy relative to the elements, uncorrected: 0.99 eV/f.u.
crystal system: cubic